1.
The following is a DFT calculation (GGA-PBE) of a geometry-optimized LaGaAu2 structure.

- Space-group type: No. 122

Cell: 5.080 5.080 9.380 Å, 74.29 74.29 90.00°
Element x y z (fractional)
Ga 0.500 0.500 0.000
Au 0.875 0.763 0.750
La 0.750 0.250 0.500
Au 0.237 0.625 0.250
Au 0.375 0.487 0.750
Ga 0.250 0.750 0.500
Au 0.513 0.125 0.250
La 0.000 0.000 0.000

2.
The following is a DFT calculation (GGA-PBE) of a geometry-optimized LaGa3Au2 structure.

- Space-group type: No. 12

Cell: 4.567 8.572 8.560 Å, 52.25 74.53 74.55°
Element x y z (fractional)
Au 0.509 0.804 0.178
Ga 0.680 0.535 0.104
Ga 0.655 0.178 0.511
La 0.136 0.899 0.829
Au 0.800 0.702 0.699
La 0.864 0.101 0.171
Ga 0.345 0.822 0.489
Au 0.200 0.298 0.301
Ga 0.028 0.625 0.318
Au 0.491 0.196 0.822
Ga 0.972 0.375 0.682
Ga 0.320 0.465 0.896

3.
The following is a DFT calculation (GGA-PBE) of a geometry-optimized La3Ga4Au7 structure.

- Space-group type: No. 12

Cell: 4.545 8.700 8.667 Å, 66.95 74.80 74.86°
Element x y z (fractional)
Au 0.502 0.773 0.223
La 0.314 0.187 0.185
Au 0.323 0.810 0.543
Ga 0.869 0.913 0.349
Ga 0.674 0.464 0.188
Au 0.000 0.000 0.000
La 0.686 0.813 0.815
Ga 0.131 0.087 0.651
Au 0.861 0.373 0.905
Au 0.498 0.227 0.777
Au 0.677 0.190 0.457
Ga 0.326 0.536 0.812
La 0.000 0.500 0.500
Au 0.139 0.627 0.095

4.
The following is a DFT calculation (GGA-PBE) of a geometry-optimized La2Ga2Au3 structure.

- Relative energy among the computed polymorphs: 0.58 kcal/mol of atoms
- Space-group type: No. 12

Cell: 4.381 5.836 7.230 Å, 111.25 90.00 112.05°
Element x y z (fractional)
Au 0.385 0.769 0.568
Au 0.615 0.231 0.432
La 0.138 0.275 0.763
La 0.862 0.725 0.237
Ga 0.151 0.302 0.216
Au 0.500 0.000 0.000
Ga 0.849 0.698 0.784

5.
The following is a DFT calculation (GGA-PBE) of a geometry-optimized La2GaAu structure.

- Space-group type: No. 11

Cell: 4.656 6.260 8.423 Å, 113.51 90.00 90.00°
Element x y z (fractional)
Ga 0.250 0.332 0.202
Au 0.250 0.357 0.709
La 0.750 0.220 0.431
La 0.750 0.219 0.916
Au 0.750 0.643 0.291
La 0.250 0.780 0.569
La 0.250 0.781 0.084
Ga 0.750 0.668 0.798

6.
The following is a DFT calculation (GGA-PBE) of a geometry-optimized La4Ga12Au structure.

- Space-group type: No. 229

Cell: 7.780 7.780 7.780 Å, 109.47 109.47 109.47°
Element x y z (fractional)
Ga 0.500 0.750 0.250
Ga 0.250 0.750 0.500
Ga 0.306 0.306 0.000
Ga 0.000 0.694 0.694
Ga 0.000 0.306 0.306
La 0.500 0.000 0.000
Au 0.000 0.000 0.000
Ga 0.250 0.500 0.750
La 0.500 0.500 0.500
La 0.000 0.500 0.000
Ga 0.694 0.694 0.000
Ga 0.694 0.000 0.694
Ga 0.500 0.250 0.750
Ga 0.306 0.000 0.306
La 0.000 0.000 0.500
Ga 0.750 0.500 0.250
Ga 0.750 0.250 0.500

7.
The following is a DFT calculation (GGA-PBE) of a geometry-optimized La2Ga3Au17 structure.

- Space-group type: No. 166

Cell: 7.792 7.792 7.792 Å, 83.65 83.65 83.65°
Element x y z (fractional)
Au 0.188 0.665 0.665
Au 0.000 0.739 0.261
Au 0.000 0.500 0.000
Au 0.739 0.000 0.261
Au 0.000 0.261 0.739
Au 0.261 0.000 0.739
Ga 0.000 0.500 0.500
Au 0.828 0.828 0.828
Au 0.261 0.739 0.000
Au 0.335 0.335 0.812
Au 0.172 0.172 0.172
Au 0.665 0.188 0.665
La 0.622 0.622 0.622
Au 0.335 0.812 0.335
Au 0.500 0.000 0.000
La 0.378 0.378 0.378
Ga 0.500 0.000 0.500
Au 0.665 0.665 0.188
Au 0.812 0.335 0.335
Au 0.739 0.261 0.000
Au 0.000 0.000 0.500
Ga 0.500 0.500 0.000

8.
The following is a DFT calculation (GGA-PBE) of a geometry-optimized La4GaAu3 structure.

- Space-group type: No. 25

Cell: 4.046 4.791 11.586 Å, 90.00 90.00 90.00°
Element x y z (fractional)
Ga 0.500 0.500 0.081
Au 0.500 0.000 0.918
La 0.000 0.500 0.863
La 0.000 0.000 0.139
Au 0.000 0.000 0.416
La 0.500 0.000 0.635
La 0.500 0.500 0.361
Au 0.000 0.500 0.586

Number 1: formation enthalpy at 0 K -0.44 eV/atom. Number 2: formation enthalpy at 0 K -0.55 eV/atom. Number 3: formation enthalpy at 0 K -0.67 eV/atom. Number 4: formation enthalpy at 0 K -0.70 eV/atom. Number 5: formation enthalpy at 0 K -0.66 eV/atom. Number 6: formation enthalpy at 0 K -0.58 eV/atom. Number 7: formation enthalpy at 0 K -0.10 eV/atom. Number 8: formation enthalpy at 0 K -0.74 eV/atom.